VASP calculation (meta-GGA SCAN) on a crystal of ScTl3 relaxed with PBEsol.

For the formation energy from the elements, the calculation gives -0.1665 eV/atom. The raw total energy is -57.995 eV/atom.

```
data_ScTl3
_chemical_formula_sum 'Sc2 Tl6'
_cell_length_a 6.457
_cell_length_b 8.680
_cell_length_c 3.507
_cell_angle_alpha 90.00
_cell_angle_beta 90.00
_cell_angle_gamma 90.00
_symmetry_space_group_name_H-M 'C m m m'
_symmetry_Int_Tables_number 65
_symmetry_space_group_name_Hall '-C 2 2'
loop_
_atom_site_label
_atom_site_fract_x
_atom_site_fract_y
_atom_site_fract_z
Sc1 0.000 0.000 0.000
Tl1 0.000 0.500 0.000
Tl2 0.250 0.250 0.500
```



VASP calculation (meta-GGA SCAN) on a crystal of SrMgHg2 relaxed with PBEsol.

For the formation energy from the elements, the calculation gives -0.3866 eV/atom. The raw total energy is -41.282 eV/atom.

```
data_SrMgHg2
_chemical_formula_sum 'Sr1 Mg1 Hg2'
_cell_length_a 3.910
_cell_length_b 3.910
_cell_length_c 6.977
_cell_angle_alpha 90.00
_cell_angle_beta 90.00
_cell_angle_gamma 90.00
_symmetry_space_group_name_H-M 'P 4 m m'
_symmetry_Int_Tables_number 99
loop_
_symmetry_equiv_pos_as_xyz
'x,y,z'
'-y,x,z'
'-x,-y,z'
'y,-x,z'
'-x,y,z'
'y,x,z'
'x,-y,z'
'-y,-x,z'
loop_
_atom_site_label
_atom_site_fract_x
_atom_site_fract_y
_atom_site_fract_z
Sr1 0.000 0.000 0.000
Mg1 0.500 0.500 0.658
Hg1 0.000 0.000 0.506
Hg2 0.500 0.500 0.246
```



VASP calculation (meta-GGA SCAN) on a crystal of Hg2RhCl relaxed with PBEsol.

The raw total energy is -44.474 eV/atom. Its energy relative to the elements, uncorrected is 46 meV per atom.

```
data_Hg2RhCl
_chemical_formula_sum 'Hg4 Rh2 Cl2'
_cell_length_a 5.852
_cell_length_b 3.376
_cell_length_c 8.283
_cell_angle_alpha 90.00
_cell_angle_beta 103.91
_cell_angle_gamma 90.00
_symmetry_space_group_name_H-M 'C 1 2/m 1'
_symmetry_Int_Tables_number 12
loop_
_symmetry_equiv_pos_as_xyz
'x,y,z'
'-x,-y,-z'
'-x,y,-z'
'x,-y,z'
'x+1/2,y+1/2,z'
'-x+1/2,-y+1/2,-z'
'-x+1/2,y+1/2,-z'
'x+1/2,-y+1/2,z'
loop_
_atom_site_label
_atom_site_fract_x
_atom_site_fract_y
_atom_site_fract_z
Hg1 0.246 0.000 0.235
Rh1 0.000 0.500 0.000
Cl1 0.000 0.000 0.500
```



VASP calculation (meta-GGA SCAN) on a crystal of K2SrP2O7 relaxed with PBEsol.

The raw total energy is -11.393 eV/atom. Its energy relative to the elements, uncorrected is -2780 meV per atom.

```
data_K2SrP2O7
_chemical_formula_sum 'K8 Sr4 P8 O28'
_cell_length_a 9.136
_cell_length_b 5.705
_cell_length_c 14.706
_cell_angle_alpha 90.00
_cell_angle_beta 105.63
_cell_angle_gamma 90.00
_symmetry_space_group_name_H-M 'P 1 21/c 1'
_symmetry_Int_Tables_number 14
loop_
_symmetry_equiv_pos_as_xyz
'x,y,z'
'-x,-y,-z'
'-x,y+1/2,-z+1/2'
'x,-y+1/2,z+1/2'
loop_
_atom_site_label
_atom_site_fract_x
_atom_site_fract_y
_atom_site_fract_z
K1 0.034 0.233 0.117
K2 0.466 0.240 0.666
Sr1 0.264 0.225 0.369
P1 0.181 0.731 0.196
P2 0.306 0.698 0.535
O1 0.013 0.729 0.192
O2 0.175 0.701 0.083
O3 0.261 0.538 0.730
O4 0.266 0.062 0.016
O5 0.268 0.515 0.243
O6 0.278 0.662 0.943
O7 0.460 0.740 0.605
```



VASP calculation (meta-GGA SCAN) on a crystal of MnFe2W relaxed with PBEsol.

For the formation energy from the elements, the calculation gives 0.0969 eV/atom. The raw total energy is -30.954 eV/atom.

```
data_MnFe2W
_chemical_formula_sum 'Mn1 Fe2 W1'
_cell_length_a 2.549
_cell_length_b 4.008
_cell_length_c 4.831
_cell_angle_alpha 90.00
_cell_angle_beta 100.83
_cell_angle_gamma 90.00
_symmetry_space_group_name_H-M 'P 1 m 1'
_symmetry_Int_Tables_number 6
loop_
_symmetry_equiv_pos_as_xyz
'x,y,z'
'x,-y,z'
loop_
_atom_site_label
_atom_site_fract_x
_atom_site_fract_y
_atom_site_fract_z
Mn1 0.000 0.000 0.000
Fe1 0.256 0.500 0.761
Fe2 0.492 0.000 0.525
W1 0.751 0.500 0.262
```



VASP calculation (meta-GGA SCAN) on a crystal of CsKTcPd2 relaxed with PBEsol.

For the formation energy from the elements, the calculation gives 1.8209 eV/atom. The raw total energy is -27.529 eV/atom.

```
data_CsKTcPd2
_chemical_formula_sum 'Cs1 K1 Tc1 Pd2'
_cell_length_a 5.229
_cell_length_b 5.229
_cell_length_c 5.795
_cell_angle_alpha 90.00
_cell_angle_beta 90.00
_cell_angle_gamma 90.00
_symmetry_space_group_name_H-M 'P 4/m m m'
_symmetry_Int_Tables_number 123
_symmetry_space_group_name_Hall '-P 4 2'
loop_
_atom_site_label
_atom_site_fract_x
_atom_site_fract_y
_atom_site_fract_z
Cs1 0.000 0.000 0.000
K1 0.000 0.000 0.500
Tc1 0.500 0.500 0.500
Pd1 0.000 0.500 0.000
```